The following is a DFT calculation (PBE) of a geometry-optimized Y2HgRu structure.

Calculated values
- ΔH_f (0 K): -0.24 eV/atom

a = 8.667 Å, b = 8.667 Å, c = 8.667 Å
α = 24.67°, β = 24.67°, γ = 24.67°
Atoms (fractional coordinates):
1 Y 0.238 0.238 0.238
2 Y 0.762 0.762 0.762
3 Hg 0.000 0.000 0.000
4 Ru 0.500 0.500 0.500

The following is a DFT calculation (PBE) of a geometry-optimized Pa4Se5O structure.

Calculated values
- Formation energy without anion corrections: -1.472 eV per atom

a = 8.761 Å, b = 8.761 Å, c = 7.775 Å
α = 103.45°, β = 103.45°, γ = 25.27°
Atoms (fractional coordinates):
1 Pa 0.004 0.004 0.281
2 Pa 0.348 0.348 0.422
3 Pa 0.652 0.652 0.578
4 Pa 0.996 0.996 0.719
5 Se 0.164 0.164 0.848
6 Se 0.175 0.175 0.317
7 Se 0.500 0.500 0.000
8 Se 0.825 0.825 0.683
9 Se 0.836 0.836 0.152
10 O 0.500 0.500 0.500

The following is a DFT calculation (PBE) of a geometry-optimized Hf2BeZn3 structure.

Calculated values
- ΔH_f (0 K): -0.19 eV/atom

a = 8.364 Å, b = 7.910 Å, c = 5.245 Å
α = 75.96°, β = 66.57°, γ = 37.47°
Atoms (fractional coordinates):
1 Hf 0.250 0.250 0.250
2 Hf 0.250 0.750 0.750
3 Hf 0.750 0.250 0.250
4 Hf 0.750 0.750 0.750
5 Be 0.167 0.167 0.833
6 Be 0.833 0.833 0.167
7 Zn 0.156 0.672 0.328
8 Zn 0.328 0.328 0.672
9 Zn 0.328 0.844 0.156
10 Zn 0.672 0.156 0.844
11 Zn 0.672 0.672 0.328
12 Zn 0.844 0.328 0.672

The following is a DFT calculation (PBE) of a geometry-optimized KFeNi2 structure.

Calculated values
- ΔH_f (0 K): 0.94 eV/atom

a = 4.853 Å, b = 4.853 Å, c = 2.624 Å
α = 90.00°, β = 90.00°, γ = 90.00°
Atoms (fractional coordinates):
1 K 0.000 0.000 0.000
2 Fe 0.500 0.500 0.000
3 Ni 0.000 0.500 0.500
4 Ni 0.500 0.000 0.500

The following is a DFT calculation (PBE) of a geometry-optimized LaTc2Ni structure.

Calculated values
- ΔH_f (0 K): 0.13 eV/atom

a = 3.126 Å, b = 3.126 Å, c = 7.269 Å
α = 90.00°, β = 90.00°, γ = 90.00°
Atoms (fractional coordinates):
1 La 0.000 0.000 0.000
2 Tc 0.000 0.000 0.492
3 Tc 0.500 0.500 0.677
4 Ni 0.500 0.500 0.300

The following is a DFT calculation (PBE) of a geometry-optimized PuInB structure.

Calculated values
- ΔH_f (0 K): 0.07 eV/atom

a = 5.554 Å, b = 5.554 Å, c = 7.768 Å
α = 125.59°, β = 125.59°, γ = 38.03°
Atoms (fractional coordinates):
1 Pu 0.233 0.233 0.157
2 Pu 0.767 0.767 0.843
3 In 0.070 0.070 0.377
4 In 0.930 0.930 0.623
5 B 0.479 0.479 0.087
6 B 0.521 0.521 0.913

The following is a DFT calculation (PBE) of a geometry-optimized BaSrCr2 structure.

Calculated values
- ΔH_f (0 K): 0.50 eV/atom

a = 9.099 Å, b = 9.099 Å, c = 9.099 Å
α = 28.09°, β = 28.09°, γ = 28.09°
Atoms (fractional coordinates):
1 Ba 0.000 0.000 0.000
2 Sr 0.178 0.178 0.178
3 Cr 0.426 0.426 0.426
4 Cr 0.759 0.759 0.759

The following is a DFT calculation (PBE) of a geometry-optimized Ac3P structure.

Calculated values
- ΔH_f (0 K): -0.53 eV/atom

a = 6.601 Å, b = 6.601 Å, c = 6.601 Å
α = 143.99°, β = 75.50°, γ = 116.20°
Atoms (fractional coordinates):
1 Ac 0.000 0.000 0.000
2 Ac 0.277 0.461 0.816
3 Ac 0.644 0.461 0.184
4 P 0.683 0.183 0.500

The following is a DFT calculation (PBE) of a geometry-optimized Rb2AlFeI6 structure.

Calculated values
- Formation energy without anion corrections: -0.693 eV per atom

a = 8.145 Å, b = 8.145 Å, c = 8.145 Å
α = 60.00°, β = 60.00°, γ = 60.00°
Atoms (fractional coordinates):
1 Rb 0.250 0.250 0.250
2 Rb 0.750 0.750 0.750
3 Al 0.000 0.000 0.000
4 Fe 0.500 0.500 0.500
5 I 0.253 0.253 0.747
6 I 0.253 0.747 0.253
7 I 0.253 0.747 0.747
8 I 0.747 0.253 0.253
9 I 0.747 0.253 0.747
10 I 0.747 0.747 0.253

The following is a DFT calculation (PBE) of a geometry-optimized Al2TeSe structure.

Calculated values
- Formation energy without anion corrections: -0.097 eV per atom

a = 4.935 Å, b = 4.935 Å, c = 4.109 Å
α = 90.00°, β = 90.00°, γ = 111.27°
Atoms (fractional coordinates):
1 Al 0.241 0.759 0.000
2 Al 0.759 0.241 0.000
3 Te 0.500 0.500 0.500
4 Se 0.000 0.000 0.500

The following is a DFT calculation (PBE) of a geometry-optimized Cr2SbPt structure.

Calculated values
- Formation energy without anion corrections: 0.386 eV per atom

a = 8.314 Å, b = 8.314 Å, c = 8.314 Å
α = 22.05°, β = 22.05°, γ = 22.05°
Atoms (fractional coordinates):
1 Cr 0.245 0.245 0.245
2 Cr 0.755 0.755 0.755
3 Sb 0.000 0.000 0.000
4 Pt 0.500 0.500 0.500

The following is a DFT calculation (PBE) of a geometry-optimized Dy3Ga7Ni4 structure.

Calculated values
- ΔH_f (0 K): -0.60 eV/atom

a = 7.942 Å, b = 7.942 Å, c = 9.146 Å
α = 123.84°, β = 123.84°, γ = 29.98°
Atoms (fractional coordinates):
1 Dy 0.000 0.000 0.000
2 Dy 0.309 0.309 0.302
3 Dy 0.691 0.691 0.698
4 Ga 0.000 0.000 0.500
5 Ga 0.158 0.158 0.422
6 Ga 0.322 0.322 0.969
7 Ga 0.497 0.497 0.720
8 Ga 0.503 0.503 0.280
9 Ga 0.678 0.678 0.031
10 Ga 0.842 0.842 0.578
11 Ni 0.121 0.121 0.844
12 Ni 0.338 0.338 0.716
13 Ni 0.662 0.662 0.284
14 Ni 0.879 0.879 0.156

The following is a DFT calculation (PBE) of a geometry-optimized CsCd3Rh structure.

Calculated values
- ΔH_f (0 K): 0.41 eV/atom

a = 6.747 Å, b = 6.747 Å, c = 6.747 Å
α = 89.78°, β = 89.78°, γ = 89.78°
Atoms (fractional coordinates):
1 Cs 0.000 0.000 0.000
2 Cs 0.500 0.500 0.500
3 Cd 0.029 0.750 0.471
4 Cd 0.250 0.529 0.971
5 Cd 0.471 0.029 0.750
6 Cd 0.529 0.971 0.250
7 Cd 0.750 0.471 0.029
8 Cd 0.971 0.250 0.529
9 Rh 0.250 0.250 0.250
10 Rh 0.750 0.750 0.750

The following is a DFT calculation (PBE) of a geometry-optimized LiDyHgPd structure.

Calculated values
- ΔH_f (0 K): -0.49 eV/atom

a = 4.971 Å, b = 4.971 Å, c = 4.971 Å
α = 125.67°, β = 125.67°, γ = 80.43°
Atoms (fractional coordinates):
1 Li 0.000 0.000 0.000
2 Dy 0.750 0.250 0.500
3 Hg 0.250 0.750 0.500
4 Pd 0.500 0.500 0.000

The following is a DFT calculation (PBE) of a geometry-optimized ReNi2Pt3 structure.

Calculated values
- ΔH_f (0 K): -0.10 eV/atom

a = 2.738 Å, b = 2.738 Å, c = 11.229 Å
α = 90.00°, β = 90.00°, γ = 90.00°
Atoms (fractional coordinates):
1 Re 0.000 0.000 0.000
2 Ni 0.000 0.000 0.341
3 Ni 0.000 0.000 0.659
4 Pt 0.500 0.500 0.173
5 Pt 0.500 0.500 0.500
6 Pt 0.500 0.500 0.827

The following is a DFT calculation (PBE) of a geometry-optimized Ac2Mg4Sn3Hg structure.

Calculated values
- ΔH_f (0 K): -0.46 eV/atom

a = 4.839 Å, b = 4.839 Å, c = 11.788 Å
α = 90.00°, β = 90.00°, γ = 90.00°
Atoms (fractional coordinates):
1 Ac 0.000 0.500 0.237
2 Ac 0.500 0.000 0.763
3 Mg 0.000 0.000 0.500
4 Mg 0.000 0.500 0.877
5 Mg 0.500 0.000 0.123
6 Mg 0.500 0.500 0.500
7 Sn 0.000 0.000 0.000
8 Sn 0.000 0.500 0.642
9 Sn 0.500 0.000 0.358
10 Hg 0.500 0.500 0.000

The following is a DFT calculation (PBE) of a geometry-optimized PuTi2Pt structure.

Calculated values
- ΔH_f (0 K): -0.15 eV/atom

a = 9.269 Å, b = 9.269 Å, c = 9.269 Å
α = 18.71°, β = 18.71°, γ = 18.71°
Atoms (fractional coordinates):
1 Pu 0.000 0.000 0.000
2 Ti 0.244 0.244 0.244
3 Ti 0.756 0.756 0.756
4 Pt 0.500 0.500 0.500

The following is a DFT calculation (PBE) of a geometry-optimized Ru2WBr structure.

Calculated values
- Formation energy without anion corrections: 0.626 eV per atom

a = 8.896 Å, b = 8.896 Å, c = 8.896 Å
α = 18.73°, β = 18.73°, γ = 18.73°
Atoms (fractional coordinates):
1 Ru 0.000 0.000 0.000
2 Ru 0.255 0.255 0.255
3 W 0.504 0.504 0.504
4 Br 0.757 0.757 0.757

The following is a DFT calculation (PBE) of a geometry-optimized PaCuAgS4 structure.

Calculated values
- Formation energy without anion corrections: -0.774 eV per atom

a = 7.458 Å, b = 7.458 Å, c = 7.458 Å
α = 119.24°, β = 114.33°, γ = 95.71°
Atoms (fractional coordinates):
1 Pa 0.000 0.000 0.000
2 Pa 0.500 0.000 0.500
3 Cu 0.391 0.641 0.750
4 Cu 0.609 0.359 0.250
5 Ag 0.000 0.000 0.500
6 Ag 0.000 0.500 0.000
7 S 0.240 0.743 0.498
8 S 0.255 0.257 0.998
9 S 0.260 0.251 0.490
10 S 0.260 0.770 0.010
11 S 0.740 0.230 0.990
12 S 0.740 0.749 0.510
13 S 0.745 0.743 0.002
14 S 0.760 0.257 0.502

The following is a DFT calculation (PBE) of a geometry-optimized As2HPd8 structure.

Calculated values
- VASP energy: -5.176 eV/atom

a = 7.492 Å, b = 7.492 Å, c = 5.773 Å
α = 90.96°, β = 90.96°, γ = 29.62°
Atoms (fractional coordinates):
1 As 0.168 0.168 0.244
2 As 0.832 0.832 0.756
3 H 0.682 0.318 0.500
4 Pd 0.006 0.006 0.745
5 Pd 0.216 0.217 0.795
6 Pd 0.378 0.382 0.488
7 Pd 0.399 0.403 0.994
8 Pd 0.597 0.601 0.006
9 Pd 0.618 0.622 0.512
10 Pd 0.783 0.784 0.205
11 Pd 0.994 0.994 0.255

The following is a DFT calculation (PBE) of a geometry-optimized YSiAg2 structure.

Calculated values
- Formation energy without anion corrections: -0.069 eV per atom

a = 10.530 Å, b = 10.530 Å, c = 10.530 Å
α = 157.41°, β = 157.41°, γ = 32.16°
Atoms (fractional coordinates):
1 Y 0.000 0.000 0.000
2 Y 0.750 0.250 0.500
3 Si 0.250 0.750 0.500
4 Si 0.500 0.500 0.000
5 Ag 0.150 0.625 0.025
6 Ag 0.375 0.400 0.525
7 Ag 0.600 0.125 0.975
8 Ag 0.875 0.850 0.475

The following is a DFT calculation (PBE) of a geometry-optimized AlPb2Au6 structure.

Calculated values
- ΔH_f (0 K): -0.10 eV/atom

a = 6.518 Å, b = 6.518 Å, c = 6.518 Å
α = 60.00°, β = 60.00°, γ = 60.00°
Atoms (fractional coordinates):
1 Al 0.000 0.000 0.000
2 Pb 0.250 0.250 0.250
3 Pb 0.750 0.750 0.750
4 Au 0.274 0.274 0.726
5 Au 0.274 0.726 0.274
6 Au 0.274 0.726 0.726
7 Au 0.726 0.274 0.274
8 Au 0.726 0.274 0.726
9 Au 0.726 0.726 0.274

The following is a DFT calculation (PBE) of a geometry-optimized VCoTc2 structure.

Calculated values
- ΔH_f (0 K): 0.56 eV/atom

a = 9.308 Å, b = 9.308 Å, c = 9.308 Å
α = 157.82°, β = 157.82°, γ = 31.58°
Atoms (fractional coordinates):
1 V 0.000 0.000 0.000
2 V 0.750 0.250 0.500
3 Co 0.250 0.750 0.500
4 Co 0.500 0.500 0.000
5 Tc 0.125 0.625 0.000
6 Tc 0.375 0.375 0.500
7 Tc 0.625 0.125 0.000
8 Tc 0.875 0.875 0.500

The following is a DFT calculation (PBE) of a geometry-optimized MnOsAu3 structure.

Calculated values
- ΔH_f (0 K): 1.35 eV/atom

a = 5.027 Å, b = 5.027 Å, c = 5.027 Å
α = 90.00°, β = 90.00°, γ = 90.00°
Atoms (fractional coordinates):
1 Mn 0.000 0.000 0.000
2 Os 0.500 0.500 0.500
3 Au 0.000 0.500 0.500
4 Au 0.500 0.000 0.500
5 Au 0.500 0.500 0.000

The following is a DFT calculation (PBE) of a geometry-optimized Ba2CuIr2 structure.

Calculated values
- ΔH_f (0 K): 0.21 eV/atom

a = 7.025 Å, b = 7.025 Å, c = 5.007 Å
α = 90.00°, β = 90.00°, γ = 90.00°
Atoms (fractional coordinates):
1 Ba 0.182 0.318 0.000
2 Ba 0.318 0.818 0.000
3 Ba 0.682 0.182 0.000
4 Ba 0.818 0.682 0.000
5 Cu 0.000 0.000 0.500
6 Cu 0.500 0.500 0.500
7 Ir 0.126 0.626 0.500
8 Ir 0.374 0.126 0.500
9 Ir 0.626 0.874 0.500
10 Ir 0.874 0.374 0.500

no.,volume (Å³ per atom)
1,24.9
2,24.7
3,16.0
4,15.4
5,17.8
6,19.4
7,36.9
8,37.2
9,38.2
10,23.3
11,17.8
12,16.8
13,30.7
14,19.6
15,14.0
16,27.6
17,17.9
18,15.9
19,21.8
20,14.6
21,21.5
22,21.8
23,14.4
24,25.4
25,24.7